Below is crystalline KCoPH2O5 at its relaxed geometry, with properties calculated at the GGA+U level.

## Properties
Crystal system: orthorhombic
ΔE to the lowest computed polymorph, kJ/mol of atoms: 11.5
Total magnetic moment, μB per cell: 2.0

```
data_KCoPH2O5
_space_group_name_H-M_alt 'P m n 21'
_space_group_IT_number 31
_cell_length_a 5.5602
_cell_length_b 7.8349
_cell_length_c 5.1878
_cell_angle_alpha 90.00
_cell_angle_beta 90.00
_cell_angle_gamma 90.00
loop_
_space_group_symop_operation_xyz
'x,y,z'
'-x+1/2,-y,z+1/2'
'-x,y,z'
'x+1/2,-y,z+1/2'
loop_
_atom_site_label
_atom_site_type_symbol
_atom_site_fract_x
_atom_site_fract_y
_atom_site_fract_z
K1 K 0.0000 0.0113 0.0000
Co1 Co 0.0000 0.4395 0.2095
P1 P 0.0000 0.7636 0.5091
H1 H 0.1451 0.2886 0.6068
O1 O 0.0000 0.3604 0.6013
O2 O 0.0000 0.6881 0.2258
O3 O 0.0000 0.9585 0.4918
O4 O 0.2273 0.7049 0.6542
```